Computed, not measured: ZrTcSe2 after structural relaxation at the PBE level of DFT.

E_tot (Ha/atom): -0.25520
Total moment (μB/f.u.): 0.000
Formation energy from raw total energies (kJ/mol of formula units): -183
Energy above the most stable polymorph in this dataset (kJ/mol of formula units): 59

abc: 4.981 4.981 4.728
angles: 102.77 102.77 39.30
Fractional coordinates of all 4 atoms:
Zr 0.000 0.000 0.000
Tc 0.224 0.224 0.662
Se 0.497 0.497 0.500
Se 0.735 0.735 0.095